# Li2Mg2Au (PBE-GGA, optimized geometry)
data_Li2Mg2Au
_chemical_formula_sum 'Li4 Mg4 Au2'
_cell_length_a 4.153
_cell_length_b 5.708
_cell_length_c 7.615
_cell_angle_alpha 90.00
_cell_angle_beta 90.00
_cell_angle_gamma 90.00
_symmetry_space_group_name_H-M 'I m m m'
_symmetry_Int_Tables_number 71
_symmetry_space_group_name_Hall '-I 2 2'
loop_
_atom_site_label
_atom_site_fract_x
_atom_site_fract_y
_atom_site_fract_z
_atom_site_occupancy
Li1 0.000 0.230 0.000 1
Mg1 0.000 0.500 0.294 1
Au1 0.000 0.000 0.500 1
# - Polymorph energy (0 for the lowest one): 0.1153 eV/atom


# Li2Mg6Au (PBE-GGA, optimized geometry)
data_Li2Mg6Au
_chemical_formula_sum 'Li4 Mg12 Au2'
_cell_length_a 8.801
_cell_length_b 8.801
_cell_length_c 4.691
_cell_angle_alpha 90.00
_cell_angle_beta 90.00
_cell_angle_gamma 90.00
_symmetry_space_group_name_H-M 'P 42/m n m'
_symmetry_Int_Tables_number 136
_symmetry_space_group_name_Hall '-P 4n 2n'
loop_
_atom_site_label
_atom_site_fract_x
_atom_site_fract_y
_atom_site_fract_z
_atom_site_occupancy
Li1 0.196 0.196 0.000 1
Mg1 0.028 0.322 0.500 1
Mg2 0.126 0.874 0.000 1
Au1 0.000 0.000 0.500 1
# - Total energy: -2.059 eV/atom


# LiMg3Au4 (PBE-GGA, optimized geometry)
data_LiMg3Au4
_chemical_formula_sum 'Li1 Mg3 Au4'
_cell_length_a 3.378
_cell_length_b 3.378
_cell_length_c 12.213
_cell_angle_alpha 90.00
_cell_angle_beta 90.00
_cell_angle_gamma 90.00
_symmetry_space_group_name_H-M 'P 4/m m m'
_symmetry_Int_Tables_number 123
_symmetry_space_group_name_Hall '-P 4 2'
loop_
_atom_site_label
_atom_site_fract_x
_atom_site_fract_y
_atom_site_fract_z
_atom_site_occupancy
Li1 0.000 0.000 0.000 1
Mg1 0.000 0.000 0.242 1
Mg2 0.000 0.000 0.500 1
Au1 0.500 0.500 0.118 1
Au2 0.500 0.500 0.371 1
# - Total energy: -3.065 eV/atom


# LiMgAu (PBE-GGA, optimized geometry)
data_LiMgAu
_chemical_formula_sum 'Li2 Mg2 Au2'
_cell_length_a 4.5776
_cell_length_b 4.5776
_cell_length_c 5.7162
_cell_angle_alpha 90.00
_cell_angle_beta 90.00
_cell_angle_gamma 120.00
_symmetry_space_group_name_H-M 'P 3 m 1'
_symmetry_Int_Tables_number 156
loop_
_symmetry_equiv_pos_as_xyz
'x,y,z'
'-y,x-y,z'
'-x+y,-x,z'
'-y,-x,z'
'-x+y,y,z'
'x,x-y,z'
loop_
_atom_site_label
_atom_site_fract_x
_atom_site_fract_y
_atom_site_fract_z
_atom_site_occupancy
Li1 0.0000 0.0000 0.0000 1
Li2 0.3333 0.6667 0.1723 1
Mg1 0.0000 0.0000 0.4887 1
Mg2 0.6667 0.3333 0.8108 1
Au1 0.3333 0.6667 0.6798 1
Au2 0.6667 0.3333 0.2957 1
# - Polymorph energy (0 for the lowest one): 0.0000 eV/atom


# Li3MgAu (PBE-GGA, optimized geometry)
data_Li3MgAu
_chemical_formula_sum 'Li3 Mg1 Au1'
_cell_length_a 4.852
_cell_length_b 4.852
_cell_length_c 4.852
_cell_angle_alpha 90.00
_cell_angle_beta 90.00
_cell_angle_gamma 90.00
_symmetry_space_group_name_H-M 'P m -3 m'
_symmetry_Int_Tables_number 221
_symmetry_space_group_name_Hall '-P 4 2 3'
loop_
_atom_site_label
_atom_site_fract_x
_atom_site_fract_y
_atom_site_fract_z
_atom_site_occupancy
Li1 0.000 0.000 0.500 1
Mg1 0.500 0.500 0.500 1
Au1 0.000 0.000 0.000 1
# - Polymorph energy (0 for the lowest one): 0.2560 eV/atom


# Li2Mg6Au (PBE-GGA, optimized geometry)
data_Li2Mg6Au
_chemical_formula_sum 'Li2 Mg6 Au1'
_cell_length_a 4.8202
_cell_length_b 4.8202
_cell_length_c 8.9012
_cell_angle_alpha 90.00
_cell_angle_beta 90.00
_cell_angle_gamma 120.00
_symmetry_space_group_name_H-M 'P -3 m 1'
_symmetry_Int_Tables_number 164
_symmetry_space_group_name_Hall '-P 3 2"'
loop_
_atom_site_label
_atom_site_fract_x
_atom_site_fract_y
_atom_site_fract_z
_atom_site_occupancy
Li1 0.3333 0.6667 0.2800 1
Mg1 0.0000 0.0000 0.1873 1
Mg2 0.3333 0.6667 0.5962 1
Mg3 0.3333 0.6667 0.9473 1
Au1 0.0000 0.0000 0.5000 1
# - Total energy: -2.061 eV/atom


Repeat the first record exactly.
# Li2Mg2Au (PBE-GGA, optimized geometry)
data_Li2Mg2Au
_chemical_formula_sum 'Li4 Mg4 Au2'
_cell_length_a 4.153
_cell_length_b 5.708
_cell_length_c 7.615
_cell_angle_alpha 90.00
_cell_angle_beta 90.00
_cell_angle_gamma 90.00
_symmetry_space_group_name_H-M 'I m m m'
_symmetry_Int_Tables_number 71
_symmetry_space_group_name_Hall '-I 2 2'
loop_
_atom_site_label
_atom_site_fract_x
_atom_site_fract_y
_atom_site_fract_z
_atom_site_occupancy
Li1 0.000 0.230 0.000 1
Mg1 0.000 0.500 0.294 1
Au1 0.000 0.000 0.500 1
# - Polymorph energy (0 for the lowest one): 0.1153 eV/atom


Number 6 is which compound?
Li2Mg6Au